DFT (GGA-PBE) results for crystalline Fe2HgTe at its relaxed geometry.

Unit cell a=8.396 b=8.396 c=8.396 alpha=21.88 beta=21.88 gamma=21.88
Last column: magnetic moment on the atom in μB.
Sites, in units of the cell vectors:
Fe: 0.003 0.003 0.003  2.58
Fe: 0.497 0.497 0.497  2.58
Hg: 0.250 0.250 0.250  -0.03
Te: 0.750 0.750 0.750  -0.07

Values from the calculation:
Formation energy (no corrections): 0.523 eV per atom
Space-group type: No. 166
Offset from the most stable computed form: 256 meV per atom
Magnetization: 5.0 μB per formula unit
Calculated density: 10.14 Mg/m³
N(E_F): 0.78 states/eV/atom

DFT (GGA-PBE) results for crystalline FeHg2Te at its relaxed geometry.

Unit cell a=5.193 b=5.193 c=3.983 alpha=90.00 beta=90.00 gamma=116.87
Last column: magnetic moment on the atom in μB.
Sites, in units of the cell vectors:
Fe: 0.000 0.500 0.500  3.06
Hg: 0.000 0.000 0.000  0.01
Hg: 0.500 0.500 0.000  0.01
Te: 0.500 0.000 0.500  0.10

Values from the calculation:
Formation energy (no corrections): 0.487 eV per atom
Space-group type: No. 65
Magnetization: 3.3 μB per formula unit
Calculated density: 10.13 Mg/m³
N(E_F): 1.12 states/eV/atom

DFT (GGA-PBE) results for crystalline Fe2HgTe at its relaxed geometry.

Unit cell a=4.239 b=4.239 c=6.841 alpha=75.37 beta=75.37 gamma=44.54
Last column: magnetic moment on the atom in μB.
Sites, in units of the cell vectors:
Fe: 0.006 0.006 0.948  2.31
Fe: 0.742 0.742 0.823  2.45
Hg: 0.506 0.506 0.583  -0.01
Te: 0.246 0.246 0.147  -0.04

Values from the calculation:
Formation energy (no corrections): 0.337 eV per atom
Space-group type: No. 8
Offset from the most stable computed form: 71 meV per atom
Magnetization: 4.7 μB per formula unit
Calculated density: 8.81 Mg/m³
N(E_F): 0.77 states/eV/atom

DFT (GGA-PBE) results for crystalline FeHgTe2 at its relaxed geometry.

Unit cell a=4.042 b=8.028 c=3.917 alpha=90.00 beta=90.00 gamma=90.00
Last column: magnetic moment on the atom in μB.
Sites, in units of the cell vectors:
Fe: 0.500 0.000 0.500  3.19
Hg: 0.000 0.500 0.500  0.00
Te: 0.000 0.000 0.000  0.14
Te: 0.500 0.500 0.000  0.03

Values from the calculation:
Formation energy (no corrections): 0.469 eV per atom
Space-group type: No. 47
Magnetization: 3.7 μB per formula unit
Calculated density: 6.68 Mg/m³
N(E_F): 1.34 states/eV/atom

DFT (GGA-PBE) results for crystalline FeHgTe4 at its relaxed geometry.

Unit cell a=6.368 b=6.368 c=6.368 alpha=60.00 beta=60.00 gamma=60.00
Last column: magnetic moment on the atom in μB.
Sites, in units of the cell vectors:
Fe: 0.750 0.750 0.750  3.39
Hg: 0.000 0.000 0.000  0.03
Te: 0.874 0.375 0.375  0.06
Te: 0.375 0.375 0.874  0.06
Te: 0.375 0.874 0.375  0.06
Te: 0.375 0.375 0.375  0.06

Values from the calculation:
Formation energy (no corrections): 0.750 eV per atom
Space-group type: No. 216
Magnetization: 4.1 μB per formula unit
Calculated density: 6.97 Mg/m³
N(E_F): 1.40 states/eV/atom

DFT (GGA-PBE) results for crystalline Fe2HgTe at its relaxed geometry.

Unit cell a=3.165 b=3.165 c=7.730 alpha=90.00 beta=90.00 gamma=90.00
Last column: magnetic moment on the atom in μB.
Sites, in units of the cell vectors:
Fe: 0.000 0.000 0.041  2.18
Fe: 0.500 0.500 0.196  2.63
Hg: 0.000 0.000 0.421  -0.04
Te: 0.500 0.500 0.842  -0.06

Values from the calculation:
Formation energy (no corrections): 0.266 eV per atom
Space-group type: No. 99
Offset from the most stable computed form: 0 meV per atom
Magnetization: 4.6 μB per formula unit
Calculated density: 9.44 Mg/m³
N(E_F): 0.98 states/eV/atom